Computed, not measured: a relaxed structure of Mg2TcOs at the PBE-GGA level of DFT.

Cell lengths 3.0030, 3.0030, 7.3716 Å; angles 90.00, 90.00, 90.00 degrees
Fractional coordinates of all 4 atoms:
Mg (0.0000, 0.0000, 0.9730)
Mg (0.5000, 0.5000, 0.2802)
Os (0.0000, 0.0000, 0.5214)
Tc (0.5000, 0.5000, 0.7254)

Values from the calculation:
Its space-group type is P4mm (99). The value obtained for the energy above the most stable polymorph in this dataset is 0 meV/atom. The crystal system is tetragonal. The value obtained for the formation energy is 0.0169 eV per atom. The energy comes out at -0.22709 hartree per atom. As for the spin magnetization: 0.00 μB per formula unit.